Entry from Alexandria via LeMat-Bulk: LaYPdRh after structural relaxation (GGA-PBE).

Cell: 3.823 4.571 5.665 Å, 90.00 109.72 90.00°
Fractional coordinates of all 4 atoms:
La 0.145 0.000 0.291
Y 0.866 0.500 0.732
Pd 0.583 0.500 0.166
Rh 0.406 0.000 0.811

Computed properties:
**Density**: 7.789 g cm⁻³
**Crystal system**: orthorhombic
**Total moment**: 0.000 μB per atom
**Final energy**: -6.805 eV per atom

---

Entry from Alexandria via LeMat-Bulk: La2Zn5PdRh2 after structural relaxation (GGA-PBE).

Cell: 3.757 9.971 9.971 Å, 90.00 90.00 90.00°
Fractional coordinates of all 20 atoms:
La 0.000 0.683 0.183
La 0.000 0.317 0.817
La 0.000 0.183 0.317
La 0.000 0.817 0.683
Zn 0.500 0.190 0.051
Zn 0.500 0.810 0.949
Zn 0.500 0.051 0.810
Zn 0.500 0.690 0.449
Zn 0.500 0.949 0.190
Zn 0.500 0.310 0.551
Zn 0.500 0.551 0.690
Zn 0.500 0.449 0.310
Zn 0.500 0.500 0.000
Zn 0.500 0.000 0.500
Pd 0.000 0.000 0.000
Pd 0.000 0.500 0.500
Rh 0.000 0.125 0.625
Rh 0.000 0.875 0.375
Rh 0.000 0.625 0.875
Rh 0.000 0.375 0.125

Computed properties:
**Density**: 8.154 g cm⁻³
**Crystal system**: tetragonal
**Total moment**: 0.000 μB per atom
**Final energy**: -4.063 eV per atom

---

Entry from Alexandria via LeMat-Bulk: La2ZnPdRh after structural relaxation (GGA-PBE).

Cell: 4.208 7.942 7.453 Å, 110.36 90.00 90.00°
Fractional coordinates of all 10 atoms:
La 0.750 0.867 0.632
La 0.750 0.710 0.039
La 0.250 0.133 0.368
La 0.250 0.290 0.961
Zn 0.250 0.551 0.649
Zn 0.750 0.449 0.351
Pd 0.250 0.666 0.328
Pd 0.750 0.334 0.672
Rh 0.250 0.877 0.895
Rh 0.750 0.123 0.105

Computed properties:
**Density**: 7.859 g cm⁻³
**Crystal system**: monoclinic
**Total moment**: 0.000 μB per atom
**Final energy**: -5.434 eV per atom